## one
The following is a PBE-GGA calculation of a relaxed AlZnTe2 crystal, from the Alexandria database.

abc: 8.5579 8.5579 8.5579
angles: 28.13 28.13 28.13
Last column: nearest neighbours and their distance in Å.
Element x y z (fractional)
Zn: 0.0000 0.0000 0.0000  2 Te 2.58
Te: 0.8954 0.8954 0.8954  1 Zn 2.58, 3 Al 2.85
Te: 0.1046 0.1046 0.1046  1 Zn 2.58, 3 Al 2.85
Al: 0.5000 0.5000 0.5000  6 Te 2.85

Theoretical density: 4.69 g/cm3
Space-group type: R-3m, No. 166

## two
The following is a PBE-GGA calculation of a relaxed AlZnTe2 crystal, from the Alexandria database.

abc: 9.8688 9.8688 9.8688
angles: 21.12 21.12 21.12
Last column: nearest neighbours and their distance in Å.
Element x y z (fractional)
Zn: 0.5000 0.5000 0.5000  6 Te 2.77
Te: 0.8965 0.8965 0.8965  3 Zn 2.77, 1 Al 3.00
Te: 0.1035 0.1035 0.1035  3 Zn 2.77, 1 Al 3.00
Al: 0.0000 0.0000 0.0000  2 Te 3.00

Theoretical density: 5.28 g/cm3
Space-group type: R-3m, No. 166

Which of them is most stable, and which least? Most stable: one; least stable: two.